Record 1
First-principles (PBE) data for a geometry-optimized LiSiPt2 structure, as listed in OQMD.

Calculated values
Space-group type: No. 123
Raw total energy, eV/atom: -5.588
Spin magnetization, μB per atom: 0.001
Theoretical density, Mg/m³: 13.2
Volume, A^3/atom: 13.38

Cell and atoms, written as POSCAR:
```
LiSiPt2
1.0
3.960 0.000 0.000
0.000 3.960 0.000
0.000 0.000 3.412
Li Si Pt
1 1 2
Direct
0.000 0.000 0.000
0.500 0.500 0.000
0.000 0.500 0.500
0.500 0.000 0.500
```


Record 2
First-principles (PBE) data for a geometry-optimized LiSiPt2 structure, as listed in OQMD.

Calculated values
Space-group type: No. 123
Raw total energy, eV/atom: -5.452
Spin magnetization, μB per atom: 0.000
Theoretical density, Mg/m³: 12.2
Volume, A^3/atom: 14.50

Cell and atoms, written as POSCAR:
```
LiSiPt2
1.0
2.883 0.000 0.000
0.000 2.883 0.000
0.000 0.000 6.976
Li Si Pt
1 1 2
Direct
0.000 0.000 0.000
0.000 0.000 0.500
0.500 0.500 0.284
0.500 0.500 0.716
```


Record 3
First-principles (PBE) data for a geometry-optimized LiSiPt2 structure, as listed in OQMD.

Calculated values
Space-group type: No. 194
Raw total energy, eV/atom: -5.276
Spin magnetization, μB per atom: 0.001
Theoretical density, Mg/m³: 11.5
Volume, A^3/atom: 15.30

Cell and atoms, written as POSCAR:
```
LiSiPt2
1.0
4.359 0.000 0.000
-2.180 3.775 0.000
0.000 0.000 7.437
Li Si Pt
2 2 4
Direct
0.000 0.000 0.000
0.000 0.000 0.500
0.333 0.667 0.250
0.667 0.333 0.750
0.333 0.667 0.576
0.333 0.667 0.924
0.667 0.333 0.076
0.667 0.333 0.424
```


Record 4
First-principles (PBE) data for a geometry-optimized LiSi2Pt2 structure, as listed in OQMD.

Calculated values
Space-group type: No. 139
Raw total energy, eV/atom: -5.609
Spin magnetization, μB per atom: 0.000
Theoretical density, Mg/m³: 9.2
Volume, A^3/atom: 16.40

Cell and atoms, written as POSCAR:
```
LiSi2Pt2
1.0
-2.023 2.023 5.010
2.023 -2.023 5.010
2.023 2.023 -5.010
Li Si Pt
1 2 2
Direct
0.000 0.000 0.000
0.386 0.386 0.000
0.614 0.614 0.000
0.250 0.750 0.500
0.750 0.250 0.500
```


Record 5
First-principles (PBE) data for a geometry-optimized LiSiPt3 structure, as listed in OQMD.

Calculated values
Space-group type: No. 191
Raw total energy, eV/atom: -5.697
Spin magnetization, μB per atom: 0.000
Theoretical density, Mg/m³: 12.4
Volume, A^3/atom: 16.56

Cell and atoms, written as POSCAR:
```
LiSiPt3
1.0
5.507 0.000 0.000
-2.754 4.769 0.000
0.000 0.000 6.307
Li Si Pt
2 2 6
Direct
0.000 0.000 0.000
0.000 0.000 0.500
0.333 0.667 0.000
0.667 0.333 0.000
0.000 0.500 0.282
0.000 0.500 0.718
0.500 0.000 0.282
0.500 0.000 0.718
0.500 0.500 0.282
0.500 0.500 0.718
```


Record 6
First-principles (PBE) data for a geometry-optimized LiSiPt2 structure, as listed in OQMD.

Calculated values
Space-group type: No. 62
Raw total energy, eV/atom: -5.578
Spin magnetization, μB per atom: 0.000
Theoretical density, Mg/m³: 11.9
Volume, A^3/atom: 14.82

Cell and atoms, written as POSCAR:
```
LiSiPt2
1.0
6.149 0.000 0.000
0.000 7.156 0.000
0.000 0.000 5.389
Li Si Pt
4 4 8
Direct
0.029 0.250 0.065
0.471 0.750 0.565
0.529 0.250 0.435
0.971 0.750 0.935
0.119 0.250 0.552
0.381 0.750 0.052
0.619 0.250 0.948
0.881 0.750 0.448
0.170 0.543 0.329
0.170 0.957 0.329
0.330 0.043 0.829
0.330 0.457 0.829
0.670 0.543 0.171
0.670 0.957 0.171
0.830 0.043 0.671
0.830 0.457 0.671
```


Record 7
First-principles (PBE) data for a geometry-optimized Li4SiPt3 structure, as listed in OQMD.

Calculated values
Space-group type: No. 139
Offset from the most stable computed form, eV/f.u.: 7.349
Spin magnetization, μB per atom: 0.000
Theoretical density, Mg/m³: 9.2
Volume, A^3/atom: 14.42

Cell and atoms, written as POSCAR:
```
Li4SiPt3
1.0
-2.437 2.437 4.855
2.437 -2.437 4.855
2.437 2.437 -4.855
Li Si Pt
4 1 3
Direct
0.000 0.500 0.500
0.247 0.247 0.000
0.500 0.000 0.500
0.753 0.753 0.000
0.500 0.500 0.000
0.000 0.000 0.000
0.250 0.750 0.500
0.750 0.250 0.500
```


Record 8
First-principles (PBE) data for a geometry-optimized LiSiPt2 structure, as listed in OQMD.

Calculated values
Space-group type: No. 194
Raw total energy, eV/atom: -5.494
Spin magnetization, μB per atom: 0.001
Theoretical density, Mg/m³: 11.5
Volume, A^3/atom: 15.32

Cell and atoms, written as POSCAR:
```
LiSiPt2
1.0
4.053 0.000 0.000
-2.027 3.510 0.000
0.000 0.000 8.613
Li Si Pt
2 2 4
Direct
0.333 0.667 0.250
0.667 0.333 0.750
0.000 0.000 0.000
0.000 0.000 0.500
0.333 0.667 0.592
0.333 0.667 0.908
0.667 0.333 0.092
0.667 0.333 0.408
```


Record 9
First-principles (PBE) data for a geometry-optimized LiSiPt2 structure, as listed in OQMD.

Calculated values
Space-group type: No. 194
Raw total energy, eV/atom: -5.238
Spin magnetization, μB per atom: 0.001
Theoretical density, Mg/m³: 11.7
Volume, A^3/atom: 15.04

Cell and atoms, written as POSCAR:
```
LiSiPt2
1.0
4.318 0.000 0.000
-2.159 3.740 0.000
0.000 0.000 7.452
Li Si Pt
2 2 4
Direct
0.000 0.000 0.250
0.000 0.000 0.750
0.333 0.667 0.250
0.667 0.333 0.750
0.333 0.667 0.575
0.333 0.667 0.925
0.667 0.333 0.075
0.667 0.333 0.425
```


Record 10
First-principles (PBE) data for a geometry-optimized LiSiPt structure, as listed in OQMD.

Calculated values
Space-group type: No. 216
Raw total energy, eV/atom: -5.025
Spin magnetization, μB per atom: 0.000
Theoretical density, Mg/m³: 8.4
Volume, A^3/atom: 15.11

Cell and atoms, written as POSCAR:
```
LiSiPt
1.0
0.000 2.830 2.830
2.830 0.000 2.830
2.830 2.830 0.000
Li Si Pt
1 1 1
Direct
0.000 0.000 0.000
0.250 0.250 0.250
0.500 0.500 0.500
```


Record 11
First-principles (PBE) data for a geometry-optimized Li2Si3Pt4 structure, as listed in OQMD.

Calculated values
Space-group type: No. 64
Raw total energy, eV/atom: -5.659
Spin magnetization, μB per atom: 0.000
Theoretical density, Mg/m³: 10.6
Volume, A^3/atom: 15.35

Cell and atoms, written as POSCAR:
```
Li2Si3Pt4
1.0
2.798 -6.984 0.000
2.798 6.984 0.000
0.000 0.000 7.070
Li Si Pt
4 6 8
Direct
0.099 0.901 0.910
0.401 0.599 0.410
0.599 0.401 0.590
0.901 0.099 0.090
0.000 0.000 0.500
0.015 0.485 0.750
0.485 0.015 0.250
0.500 0.500 0.000
0.515 0.985 0.750
0.985 0.515 0.250
0.180 0.820 0.533
0.187 0.313 0.750
0.313 0.187 0.250
0.320 0.680 0.033
0.680 0.320 0.967
0.687 0.813 0.750
0.813 0.687 0.250
0.820 0.180 0.467
```


Record 12
First-principles (PBE) data for a geometry-optimized Li4SiSnPt2 structure, as listed in OQMD.

Calculated values
Space-group type: No. 115
Raw total energy, eV/atom: -4.314
Spin magnetization, μB per atom: 0.001
Theoretical density, Mg/m³: 8.2
Volume, A^3/atom: 14.23

Cell and atoms, written as POSCAR:
```
Li4SiSnPt2
1.0
4.258 0.000 0.000
0.000 4.258 0.000
0.000 0.000 6.280
Li Si Sn Pt
4 1 1 2
Direct
0.000 0.000 0.000
0.000 0.500 0.725
0.500 0.000 0.275
0.500 0.500 0.500
0.000 0.000 0.500
0.500 0.500 0.000
0.000 0.500 0.282
0.500 0.000 0.718
```


Record 13
First-principles (PBE) data for a geometry-optimized Li2SiSnPt2 structure, as listed in OQMD.

Calculated values
Space-group type: No. 187
Raw total energy, eV/atom: -4.834
Spin magnetization, μB per atom: 0.000
Theoretical density, Mg/m³: 9.6
Volume, A^3/atom: 15.88

Cell and atoms, written as POSCAR:
```
Li2SiSnPt2
1.0
4.456 0.000 0.000
-2.228 3.859 0.000
0.000 0.000 5.539
Li Si Sn Pt
2 1 1 2
Direct
0.000 0.000 0.235
0.000 0.000 0.765
0.333 0.667 0.000
0.667 0.333 0.500
0.333 0.667 0.500
0.667 0.333 0.000
```


Record 14
First-principles (PBE) data for a geometry-optimized Li4TlSiPt2 structure, as listed in OQMD.

Calculated values
Space-group type: No. 115
Raw total energy, eV/atom: -4.011
Spin magnetization, μB per atom: 0.004
Theoretical density, Mg/m³: 9.3
Volume, A^3/atom: 14.58

Cell and atoms, written as POSCAR:
```
Li4TlSiPt2
1.0
4.201 0.000 0.000
0.000 4.201 0.000
0.000 0.000 6.610
Li Tl Si Pt
4 1 1 2
Direct
0.000 0.000 0.000
0.000 0.500 0.725
0.500 0.000 0.275
0.500 0.500 0.500
0.500 0.500 0.000
0.000 0.000 0.500
0.000 0.500 0.297
0.500 0.000 0.703
```


Record 15
First-principles (PBE) data for a geometry-optimized LiSn6Pt2 structure, as listed in OQMD.

Calculated values
Space-group type: No. 127
Raw total energy, eV/atom: -4.579
Spin magnetization, μB per atom: 0.002
Theoretical density, Mg/m³: 9.2
Volume, A^3/atom: 22.28

Cell and atoms, written as POSCAR:
```
LiSn6Pt2
1.0
6.763 0.000 0.000
0.000 6.763 0.000
0.000 0.000 8.768
Li Sn Pt
2 12 4
Direct
0.000 0.000 0.000
0.500 0.500 0.000
0.156 0.344 0.179
0.156 0.344 0.821
0.164 0.664 0.500
0.336 0.164 0.500
0.344 0.844 0.179
0.344 0.844 0.821
0.656 0.156 0.179
0.656 0.156 0.821
0.664 0.836 0.500
0.836 0.336 0.500
0.844 0.656 0.179
0.844 0.656 0.821
0.000 0.000 0.310
0.000 0.000 0.690
0.500 0.500 0.310
0.500 0.500 0.690
```


Record 16
First-principles (PBE) data for a geometry-optimized LiSnPt2 structure, as listed in OQMD.

Calculated values
Space-group type: No. 123
Raw total energy, eV/atom: -5.142
Spin magnetization, μB per atom: 0.001
Theoretical density, Mg/m³: 13.4
Volume, A^3/atom: 15.94

Cell and atoms, written as POSCAR:
```
LiSnPt2
1.0
4.088 0.000 0.000
0.000 4.088 0.000
0.000 0.000 3.816
Li Sn Pt
1 1 2
Direct
0.000 0.000 0.000
0.500 0.500 0.000
0.000 0.500 0.500
0.500 0.000 0.500
```


Record 17
First-principles (PBE) data for a geometry-optimized LiSnPt2 structure, as listed in OQMD.

Calculated values
Space-group type: No. 194
Raw total energy, eV/atom: -5.000
Spin magnetization, μB per atom: 0.002
Theoretical density, Mg/m³: 11.9
Volume, A^3/atom: 18.04

Cell and atoms, written as POSCAR:
```
LiSnPt2
1.0
4.495 0.000 0.000
-2.248 3.893 0.000
0.000 0.000 8.247
Li Sn Pt
2 2 4
Direct
0.333 0.667 0.250
0.667 0.333 0.750
0.000 0.000 0.000
0.000 0.000 0.500
0.333 0.667 0.586
0.333 0.667 0.914
0.667 0.333 0.086
0.667 0.333 0.414
```


Record 18
First-principles (PBE) data for a geometry-optimized LiSn5Pt3 structure, as listed in OQMD.

Calculated values
Space-group type: No. 191
Raw total energy, eV/atom: -4.699
Spin magnetization, μB per atom: 0.000
Theoretical density, Mg/m³: 9.2
Volume, A^3/atom: 23.90

Cell and atoms, written as POSCAR:
```
LiSn5Pt3
1.0
5.510 0.000 0.000
-2.755 4.772 0.000
0.000 0.000 8.181
Li Sn Pt
1 5 3
Direct
0.000 0.000 0.000
0.000 0.000 0.500
0.333 0.667 0.197
0.333 0.667 0.803
0.667 0.333 0.197
0.667 0.333 0.803
0.000 0.500 0.500
0.500 0.000 0.500
0.500 0.500 0.500
```


Record 19
First-principles (PBE) data for a geometry-optimized LiSnPt2 structure, as listed in OQMD.

Calculated values
Space-group type: No. 194
Raw total energy, eV/atom: -5.040
Spin magnetization, μB per atom: 0.002
Theoretical density, Mg/m³: 12.6
Volume, A^3/atom: 16.98

Cell and atoms, written as POSCAR:
```
LiSnPt2
1.0
4.358 0.000 0.000
-2.179 3.774 0.000
0.000 0.000 8.261
Li Sn Pt
2 2 4
Direct
0.000 0.000 0.000
0.000 0.000 0.500
0.333 0.667 0.250
0.667 0.333 0.750
0.333 0.667 0.587
0.333 0.667 0.913
0.667 0.333 0.087
0.667 0.333 0.413
```


Record 20
First-principles (PBE) data for a geometry-optimized LiSnPt2 structure, as listed in OQMD.

Calculated values
Space-group type: No. 216
Raw total energy, eV/atom: -4.965
Spin magnetization, μB per atom: 0.000
Theoretical density, Mg/m³: 13.1
Volume, A^3/atom: 16.30

Cell and atoms, written as POSCAR:
```
LiSnPt2
1.0
0.000 3.194 3.194
3.194 0.000 3.194
3.194 3.194 0.000
Li Sn Pt
1 1 2
Direct
0.000 0.000 0.000
0.750 0.750 0.750
0.250 0.250 0.250
0.500 0.500 0.500
```